## Nd5AlCu4 (PBE)

Data for a geometry-optimized Nd5AlCu4 structure.

It has space group P4/mmm (No. 123), with a = 3.5921 Å, b = 3.5921 Å, c = 18.3528 Å, α = 90.00°, β = 90.00° and γ = 90.00°. The distinct sites, in fractional coordinates, are Nd at (0.0000, 0.0000, 0.0000), Nd at (0.0000, 0.0000, 0.1967), Nd at (0.0000, 0.0000, 0.3929), Al at (0.5000, 0.5000, 0.5000), Cu at (0.5000, 0.5000, 0.0976) and Cu at (0.5000, 0.5000, 0.2941).

The energy of formation from the pure elements is -185 meV per atom. The energy comes out at -4.582 eV/atom.